# Na5Mn2P2C2O14 | Alexandria | GGA+U | optimized geometry
# Size of the total moment, μB per formula unit: 9.000
# E above lowest polymorph, eV/atom: 0.0061
data_Na5Mn2P2C2O14
_chemical_formula_sum 'Na15 Mn6 P6 C6 O42'
_cell_length_a 6.724
_cell_length_b 9.044
_cell_length_c 15.698
_cell_angle_alpha 90.58
_cell_angle_beta 90.15
_cell_angle_gamma 90.54
_space_group_name_H-M_alt 'P 1'
_space_group_IT_number 1
_space_group_name_Hall 'P 1'
loop_
_atom_site_label
_atom_site_type_symbol
_atom_site_fract_x
_atom_site_fract_y
_atom_site_fract_z
_atom_site_occupancy
Na1 Na 0.000 0.000 0.000 1
Na2 Na 0.000 0.010 0.641 1
Na3 Na 0.001 0.001 0.316 1
Na4 Na 0.016 0.501 0.146 1
Na5 Na 0.016 0.502 0.489 1
Na6 Na 0.243 0.665 0.981 1
Na7 Na 0.244 0.666 0.663 1
Na8 Na 0.264 0.673 0.324 1
Na9 Na 0.492 0.483 0.815 1
Na10 Na 0.513 0.504 0.144 1
Na11 Na 0.513 0.999 0.996 1
Na12 Na 0.514 0.009 0.647 1
Na13 Na 0.515 0.505 0.487 1
Na14 Na 0.523 0.001 0.316 1
Na15 Na 0.768 0.823 0.812 1
Mn1 Mn 0.252 0.106 0.808 1
Mn2 Mn 0.262 0.115 0.149 1
Mn3 Mn 0.267 0.112 0.469 1
Mn4 Mn 0.764 0.400 0.330 1
Mn5 Mn 0.766 0.395 0.988 1
Mn6 Mn 0.769 0.396 0.665 1
P1 P 0.262 0.327 0.970 1
P2 P 0.264 0.335 0.631 1
P3 P 0.264 0.341 0.302 1
P4 P 0.753 0.164 0.833 1
P5 P 0.761 0.179 0.169 1
P6 P 0.763 0.174 0.497 1
C1 C 0.261 0.813 0.158 1
C2 C 0.261 0.817 0.824 1
C3 C 0.262 0.818 0.491 1
C4 C 0.755 0.682 0.972 1
C5 C 0.758 0.687 0.646 1
C6 C 0.763 0.675 0.309 1
O1 O 0.076 0.430 0.646 1
O2 O 0.079 0.422 0.995 1
O3 O 0.080 0.431 0.333 1
O4 O 0.248 0.894 0.894 1
O5 O 0.251 0.889 0.751 1
O6 O 0.256 0.184 0.676 1
O7 O 0.258 0.870 0.083 1
O8 O 0.260 0.901 0.225 1
O9 O 0.261 0.177 0.016 1
O10 O 0.261 0.887 0.417 1
O11 O 0.262 0.181 0.338 1
O12 O 0.262 0.897 0.560 1
O13 O 0.264 0.672 0.169 1
O14 O 0.264 0.676 0.492 1
O15 O 0.265 0.332 0.203 1
O16 O 0.268 0.298 0.872 1
O17 O 0.281 0.310 0.532 1
O18 O 0.281 0.677 0.823 1
O19 O 0.445 0.431 0.660 1
O20 O 0.447 0.425 0.994 1
O21 O 0.449 0.431 0.334 1
O22 O 0.569 0.064 0.811 1
O23 O 0.574 0.086 0.149 1
O24 O 0.578 0.084 0.468 1
O25 O 0.739 0.602 0.904 1
O26 O 0.744 0.314 0.789 1
O27 O 0.756 0.198 0.596 1
O28 O 0.756 0.829 0.652 1
O29 O 0.758 0.824 0.970 1
O30 O 0.759 0.190 0.933 1
O31 O 0.760 0.610 0.717 1
O32 O 0.760 0.813 0.306 1
O33 O 0.761 0.614 0.576 1
O34 O 0.762 0.211 0.270 1
O35 O 0.762 0.328 0.122 1
O36 O 0.764 0.586 0.242 1
O37 O 0.765 0.330 0.455 1
O38 O 0.767 0.602 0.382 1
O39 O 0.772 0.610 0.044 1
O40 O 0.938 0.072 0.806 1
O41 O 0.948 0.087 0.149 1
O42 O 0.953 0.088 0.474 1